{"formula": "NaMn2Cl4", "functional": "PBE", "state": "relaxed", "raw_formation_energy_ev_per_atom": -0.994, "crystal_system": "tetragonal", "spacegroup": "I4/m, No. 87", "total_energy_ev_per_atom": -4.86, "lattice_angstrom": [[-4.1179, 4.1179, 2.9322], [4.1179, -4.1179, 2.9322], [4.1179, 4.1179, -2.9322]], "species": ["Na", "Mn", "Mn", "Cl", "Cl", "Cl", "Cl"], "fractional_positions": [[0.0000, 0.0000, 0.0000], [0.2500, 0.7500, 0.5000], [0.7500, 0.2500, 0.5000], [0.1351, 0.6908, 0.8259], [0.3092, 0.1351, 0.4443], [0.6908, 0.8649, 0.5557], [0.8649, 0.3092, 0.1741]]}